{
  "formula": "Ba2Sn6Pb",
  "functional": "GGA-PBE",
  "state": "optimized geometry",
  "sg": "C2/m, No. 12",
  "total_energy_ev_per_cell": -34.9,
  "cell": [[6.188, -3.554, 0.000], [6.188, 3.554, 0.000], [-0.015, 0.000, 6.703]],
  "species": ["Ba", "Ba", "Sn", "Sn", "Sn", "Sn", "Sn", "Sn", "Pb"],
  "frac_coords": [[0.166, 0.166, 0.150], [0.834, 0.834, 0.850], [0.126, 0.686, 0.345], [0.313, 0.313, 0.656], [0.314, 0.874, 0.655], [0.686, 0.126, 0.345], [0.687, 0.687, 0.344], [0.874, 0.314, 0.655], [0.500, 0.500, 0.000]]
}